Entry 1:
An optimized crystal structure of BeTcRh, computed with GGA-PBE.

**SG**: No. 62
**Calculated total energy**: -87.00 eV per cell
**V**: 12.79 Å³ per atom
**DFT formation energy**: -0.10 eV per atom

```
data_BeTcRh
_cell_length_a 4.676
_cell_length_b 4.104
_cell_length_c 7.999
_cell_angle_alpha 90.00
_cell_angle_beta 90.00
_cell_angle_gamma 90.00
_space_group_name_H-M_alt 'P 1'
_space_group_IT_number 1
loop_
_space_group_symop_operation_xyz
'x,y,z'
loop_
_atom_site_label
_atom_site_type_symbol
_atom_site_fract_x
_atom_site_fract_y
_atom_site_fract_z
Be1 Be 0.158 0.250 0.166
Be2 Be 0.342 0.750 0.666
Be3 Be 0.658 0.250 0.334
Be4 Be 0.842 0.750 0.834
Tc1 Tc 0.151 0.250 0.505
Tc2 Tc 0.349 0.750 0.005
Tc3 Tc 0.651 0.250 0.995
Tc4 Tc 0.849 0.750 0.495
Rh1 Rh 0.147 0.250 0.830
Rh2 Rh 0.353 0.750 0.330
Rh3 Rh 0.647 0.250 0.670
Rh4 Rh 0.853 0.750 0.170
```



Entry 2:
An optimized crystal structure of BeTcRh, computed with GGA-PBE.

**SG**: No. 4
**Calculated total energy**: -44.59 eV per cell
**V**: 12.29 Å³ per atom
**DFT formation energy**: -0.28 eV per atom

```
data_BeTcRh
_cell_length_a 2.819
_cell_length_b 4.135
_cell_length_c 6.482
_cell_angle_alpha 90.00
_cell_angle_beta 102.55
_cell_angle_gamma 90.00
_space_group_name_H-M_alt 'P 1'
_space_group_IT_number 1
loop_
_space_group_symop_operation_xyz
'x,y,z'
loop_
_atom_site_label
_atom_site_type_symbol
_atom_site_fract_x
_atom_site_fract_y
_atom_site_fract_z
Be1 Be 0.064 0.000 0.129
Be2 Be 0.936 0.500 0.871
Tc1 Tc 0.272 0.501 0.544
Tc2 Tc 0.728 0.001 0.456
Rh1 Rh 0.414 0.001 0.829
Rh2 Rh 0.586 0.501 0.171
```



Entry 3:
An optimized crystal structure of BeTcRh, computed with GGA-PBE.

**SG**: No. 2
**Calculated total energy**: -44.61 eV per cell
**V**: 12.17 Å³ per atom
**DFT formation energy**: -0.29 eV per atom

```
data_BeTcRh
_cell_length_a 2.814
_cell_length_b 5.049
_cell_length_c 5.617
_cell_angle_alpha 106.99
_cell_angle_beta 90.09
_cell_angle_gamma 106.14
_space_group_name_H-M_alt 'P 1'
_space_group_IT_number 1
loop_
_space_group_symop_operation_xyz
'x,y,z'
loop_
_atom_site_label
_atom_site_type_symbol
_atom_site_fract_x
_atom_site_fract_y
_atom_site_fract_z
Be1 Be 0.000 0.000 0.000
Be2 Be 0.000 0.000 0.500
Tc1 Tc 0.335 0.671 0.175
Tc2 Tc 0.665 0.329 0.825
Rh1 Rh 0.356 0.712 0.682
Rh2 Rh 0.644 0.288 0.318
```



Entry 4:
An optimized crystal structure of BeTc2Rh, computed with GGA-PBE.

**SG**: No. 6
**Calculated total energy**: -32.13 eV per cell
**V**: 13.16 Å³ per atom
**DFT formation energy**: -0.08 eV per atom

```
data_BeTc2Rh
_cell_length_a 2.709
_cell_length_b 3.908
_cell_length_c 5.145
_cell_angle_alpha 90.00
_cell_angle_beta 104.97
_cell_angle_gamma 90.00
_space_group_name_H-M_alt 'P 1'
_space_group_IT_number 1
loop_
_space_group_symop_operation_xyz
'x,y,z'
loop_
_atom_site_label
_atom_site_type_symbol
_atom_site_fract_x
_atom_site_fract_y
_atom_site_fract_z
Be1 Be 0.000 0.000 0.000
Tc1 Tc 0.385 0.500 0.774
Tc2 Tc 0.738 0.000 0.514
Rh1 Rh 0.105 0.500 0.237
```



Entry 5:
An optimized crystal structure of BeTcRh, computed with GGA-PBE.

**SG**: No. 8
**Calculated total energy**: -43.98 eV per cell
**V**: 12.59 Å³ per atom
**DFT formation energy**: -0.18 eV per atom

```
data_BeTcRh
_cell_length_a 4.664
_cell_length_b 4.664
_cell_length_c 6.076
_cell_angle_alpha 98.13
_cell_angle_beta 98.13
_cell_angle_gamma 35.32
_space_group_name_H-M_alt 'P 1'
_space_group_IT_number 1
loop_
_space_group_symop_operation_xyz
'x,y,z'
loop_
_atom_site_label
_atom_site_type_symbol
_atom_site_fract_x
_atom_site_fract_y
_atom_site_fract_z
Be1 Be 0.000 0.000 0.000
Be2 Be 0.743 0.743 0.386
Tc1 Tc 0.393 0.393 0.664
Tc2 Tc 0.668 0.668 0.771
Rh1 Rh 0.036 0.036 0.386
Rh2 Rh 0.298 0.298 0.109
```



Entry 6:
An optimized crystal structure of BeTcRh2, computed with GGA-PBE.

**SG**: No. 71
**Calculated total energy**: -29.54 eV per cell
**V**: 12.65 Å³ per atom
**DFT formation energy**: -0.19 eV per atom

```
data_BeTcRh2
_cell_length_a 4.895
_cell_length_b 4.895
_cell_length_c 4.895
_cell_angle_alpha 146.74
_cell_angle_beta 127.31
_cell_angle_gamma 63.74
_space_group_name_H-M_alt 'P 1'
_space_group_IT_number 1
loop_
_space_group_symop_operation_xyz
'x,y,z'
loop_
_atom_site_label
_atom_site_type_symbol
_atom_site_fract_x
_atom_site_fract_y
_atom_site_fract_z
Be1 Be 0.000 0.000 0.000
Tc1 Tc 0.500 0.500 0.000
Rh1 Rh 0.219 0.719 0.500
Rh2 Rh 0.781 0.281 0.500
```



In states/eV/cell, the DOS(E_F) values for the records above are, in order, 9.245 3.665 3.528 3.020 4.630 3.210.